Below is Zr3Be2Al4 after structural relaxation, with properties calculated at the PBE level.

Unit cell a=5.319 b=5.319 c=7.996 alpha=112.36 beta=112.36 gamma=46.79
Fractional positions:
Zr 0.000 0.000 0.000
Zr 0.337 0.337 0.335
Zr 0.663 0.663 0.665
Be 0.384 0.384 0.714
Be 0.616 0.616 0.286
Al 0.063 0.063 0.386
Al 0.282 0.282 0.935
Al 0.718 0.718 0.065
Al 0.937 0.937 0.614

Properties
V: 16.673 Å³ per atom
Total magnetic moment: 0.0 μB per cell
SG: C2/m
Uncorrected energy: -5.76 eV per atom